[1]
# MnNi6B

A relaxed MnNi6B crystal (PBE, Alexandria via LeMat-Bulk).

The structure in CIF format:
```
data_MnNi6B
_chemical_formula_sum 'Mn1 Ni6 B1'
_space_group_name_H-M_alt 'P 1'
_space_group_IT_number 1
_space_group_name_Hall 'P 1'
_cell_length_a 4.621
_cell_length_b 4.621
_cell_length_c 4.621
_cell_angle_alpha 102.01
_cell_angle_beta 102.01
_cell_angle_gamma 102.02
loop_
_atom_site_label
_atom_site_type_symbol
_atom_site_fract_x
_atom_site_fract_y
_atom_site_fract_z
Ni1 Ni 0.390 0.788 0.788
Ni2 Ni 0.788 0.390 0.788
Ni3 Ni 0.212 0.610 0.212
Ni4 Ni 0.212 0.212 0.610
Ni5 Ni 0.788 0.788 0.390
Ni6 Ni 0.610 0.212 0.212
Mn1 Mn 0.000 0.000 0.000
B1 B 0.500 0.500 0.500
```

Output
Energy of formation ... 0.096 eV per atom
Crystal system ... trigonal

[2]
# AgSbSI2

A relaxed AgSbSI2 crystal (PBE, Alexandria via LeMat-Bulk).

The structure in CIF format:
```
data_AgSbSI2
_chemical_formula_sum 'Ag1 Sb1 S1 I2'
_space_group_name_H-M_alt 'P 1'
_space_group_IT_number 1
_space_group_name_Hall 'P 1'
_cell_length_a 5.412
_cell_length_b 5.412
_cell_length_c 5.691
_cell_angle_alpha 90.00
_cell_angle_beta 90.00
_cell_angle_gamma 90.00
loop_
_atom_site_label
_atom_site_type_symbol
_atom_site_fract_x
_atom_site_fract_y
_atom_site_fract_z
S1 S 0.500 0.500 0.500
I1 I 0.500 0.000 0.000
I2 I 0.000 0.500 0.000
Ag1 Ag 0.000 0.000 0.000
Sb1 Sb 0.000 0.000 0.500
```

Output
Crystal system ... tetragonal
Energy above the most stable polymorph in this dataset ... 164 meV/atom

[3]
# MgMn2Ir

A relaxed MgMn2Ir crystal (PBE, Alexandria via LeMat-Bulk).

The structure in CIF format:
```
data_MgMn2Ir
_chemical_formula_sum 'Mg1 Mn2 Ir1'
_space_group_name_H-M_alt 'P 1'
_space_group_IT_number 1
_space_group_name_Hall 'P 1'
_cell_length_a 2.749
_cell_length_b 2.749
_cell_length_c 8.384
_cell_angle_alpha 90.00
_cell_angle_beta 90.00
_cell_angle_gamma 111.00
loop_
_atom_site_label
_atom_site_type_symbol
_atom_site_fract_x
_atom_site_fract_y
_atom_site_fract_z
Mg1 Mg 0.500 0.500 0.747
Mn1 Mn 0.000 0.000 0.024
Mn2 Mn 0.500 0.500 0.244
Ir1 Ir 0.000 0.000 0.486
```

Output
Energy of formation ... 0.136 eV per atom
Crystal system ... orthorhombic

[4]
# LaTbTm2

A relaxed LaTbTm2 crystal (PBE, Alexandria via LeMat-Bulk).

The structure in CIF format:
```
data_LaTbTm2
_chemical_formula_sum 'La1 Tb1 Tm2'
_space_group_name_H-M_alt 'P 1'
_space_group_IT_number 1
_space_group_name_Hall 'P 1'
_cell_length_a 4.996
_cell_length_b 5.087
_cell_length_c 5.087
_cell_angle_alpha 90.00
_cell_angle_beta 90.00
_cell_angle_gamma 90.00
loop_
_atom_site_label
_atom_site_type_symbol
_atom_site_fract_x
_atom_site_fract_y
_atom_site_fract_z
Tm1 Tm 0.000 0.500 0.000
Tm2 Tm 0.000 0.000 0.500
La1 La 0.500 0.000 0.000
Tb1 Tb 0.500 0.500 0.500
```

Output
Energy of formation ... 0.036 eV per atom
Crystal system ... tetragonal
Energy above the most stable polymorph in this dataset ... 21 meV/atom

no.,total moment (μB/cell)
1,4.9
2,0.0
3,0.5
4,0.0